No. 1
## Rb2Cd6GaAu (PBE-GGA)

Data for a relaxed structure of Rb2Cd6GaAu.

Values from the calculation:
DFT formation energy: -0.09 eV per atom
final energy: -14.6 eV per cell
D(E_F): 0.472 states/eV/atom

Cell lengths 7.5246, 7.5459, 7.6999 Å; angles 60.74, 61.00, 60.17 degrees
Space group P-1 (No. 2)
Asymmetric unit:
Rb1 0.2017 0.1996 0.3955
Cd1 0.2479 0.6547 0.8486
Cd2 0.2501 0.2466 0.8494
Cd3 0.3442 0.7456 0.1537
Ga1 0.5000 0.5000 0.5000
Au1 0.0000 0.0000 0.0000



No. 2
## RbCd2Ga2Au2 (PBE-GGA)

Data for a relaxed structure of RbCd2Ga2Au2.

Values from the calculation:
DFT formation energy: -0.22 eV per atom
final energy: -50.8 eV per cell
D(E_F): 0.129 states/eV/atom

Cell lengths 4.4658, 4.4658, 31.1717 Å; angles 90.00, 90.00, 120.00 degrees
Space group R-3m (No. 166, hexagonal axes)
Asymmetric unit:
Rb1 0.0000 0.0000 0.0000
Cd1 0.0000 0.0000 0.1406
Ga1 0.0000 0.0000 0.4172
Au1 0.0000 0.0000 0.2372



No. 3
## CdGaAu2S (PBE-GGA)

Data for a relaxed structure of CdGaAu2S.

Values from the calculation:
ΔE_f (raw): 807 meV per atom
final energy: -10.6 eV per cell
D(E_F): 0.921 states/eV/atom

Cell lengths 5.1513, 5.1513, 5.2101 Å; angles 90.00, 90.00, 90.00 degrees
Space group P4/mmm (No. 123)
Asymmetric unit:
Cd1 0.0000 0.0000 0.0000
Ga1 0.0000 0.0000 0.5000
Au1 0.0000 0.5000 0.0000
S1 0.5000 0.5000 0.5000



No. 4
## Sc4CdGa2Au (PBE-GGA)

Data for a relaxed structure of Sc4CdGa2Au.

Values from the calculation:
DFT formation energy: -0.57 eV per atom
final energy: -120.5 eV per cell
D(E_F): 0.762 states/eV/atom

Cell lengths 4.8361, 4.8361, 23.7185 Å; angles 90.00, 90.00, 120.00 degrees
Space group R-3m (No. 166, hexagonal axes)
Asymmetric unit:
Sc1 0.0000 0.0000 0.1211
Sc2 0.0000 0.0000 0.3718
Cd1 0.0000 0.0000 0.5000
Ga1 0.0000 0.0000 0.2462
Au1 0.0000 0.0000 0.0000



No. 5
## Sc2CdGaAu4 (PBE-GGA)

Data for a relaxed structure of Sc2CdGaAu4.

Values from the calculation:
DFT formation energy: -0.61 eV per atom
final energy: -103.7 eV per cell
D(E_F): 0.472 states/eV/atom

Cell lengths 4.7444, 4.7444, 23.1024 Å; angles 90.00, 90.00, 120.00 degrees
Space group R-3m (No. 166, hexagonal axes)
Asymmetric unit:
Sc1 0.0000 0.0000 0.2503
Cd1 0.0000 0.0000 0.0000
Ga1 0.0000 0.0000 0.5000
Au1 0.0000 0.0000 0.1272
Au2 0.0000 0.0000 0.3789



No. 6
## SmCdGa2Au4 (PBE-GGA)

Data for a relaxed structure of SmCdGa2Au4.

Values from the calculation:
DFT formation energy: -0.40 eV per atom
final energy: -84.1 eV per cell
D(E_F): 0.595 states/eV/atom

Cell lengths 4.4916, 4.4916, 28.1477 Å; angles 90.00, 90.00, 120.00 degrees
Space group R-3m (No. 166, hexagonal axes)
Asymmetric unit:
Sm1 0.0000 0.0000 0.0000
Cd1 0.0000 0.0000 0.5000
Ga1 0.0000 0.0000 0.2513
Au1 0.0000 0.0000 0.1201
Au2 0.0000 0.0000 0.3927



No. 7
## SmCdGa2Au2 (PBE-GGA)

Data for a relaxed structure of SmCdGa2Au2.

Values from the calculation:
DFT formation energy: -0.51 eV per atom
final energy: -21.3 eV per cell
D(E_F): 0.531 states/eV/atom

Cell lengths 4.5084, 4.5084, 7.0522 Å; angles 90.00, 90.00, 120.00 degrees
Space group P-3m1 (No. 164)
Asymmetric unit:
Sm1 0.0000 0.0000 0.0000
Cd1 0.0000 0.0000 0.5000
Ga1 0.3333 0.6667 0.7396
Au1 0.3333 0.6667 0.2790



No. 8
## Sm2CdGa3Au4 (PBE-GGA)

Data for a relaxed structure of Sm2CdGa3Au4.

Values from the calculation:
DFT formation energy: -0.57 eV per atom
final energy: -38.2 eV per cell
D(E_F): 0.677 states/eV/atom

Cell lengths 4.3913, 4.3913, 11.0377 Å; angles 90.00, 90.00, 90.00 degrees
Space group P-4m2 (No. 115)
Asymmetric unit:
Sm1 0.0000 0.5000 0.2392
Cd1 0.0000 0.0000 0.5000
Ga1 0.0000 0.5000 0.8724
Ga2 0.5000 0.5000 0.5000
Au1 0.0000 0.0000 0.0000
Au2 0.0000 0.5000 0.6482
Au3 0.5000 0.5000 0.0000



No. 9
## Sm4CdGaAu2 (PBE-GGA)

Data for a relaxed structure of Sm4CdGaAu2.

Values from the calculation:
DFT formation energy: -0.59 eV per atom
final energy: -102.2 eV per cell
D(E_F): 0.983 states/eV/atom

Cell lengths 5.2197, 5.2197, 26.0069 Å; angles 90.00, 90.00, 120.00 degrees
Space group R-3m (No. 166, hexagonal axes)
Asymmetric unit:
Sm1 0.0000 0.0000 0.1202
Sm2 0.0000 0.0000 0.3714
Cd1 0.0000 0.0000 0.5000
Ga1 0.0000 0.0000 0.0000
Au1 0.0000 0.0000 0.2403



No. 10
## SrCd2GaAu2 (PBE-GGA)

Data for a relaxed structure of SrCd2GaAu2.

Values from the calculation:
DFT formation energy: -0.20 eV per atom
final energy: -28.6 eV per cell
D(E_F): 0.549 states/eV/atom

Cell lengths 5.4321, 5.4321, 11.4626 Å; angles 90.00, 90.00, 90.00 degrees
Space group I4/mmm (No. 139)
Asymmetric unit:
Sr1 0.0000 0.0000 0.0000
Cd1 0.0000 0.5000 0.2500
Ga1 0.0000 0.0000 0.5000
Au1 0.0000 0.0000 0.2856



No. 11
## SrCdGaAu2 (PBE-GGA)

Data for a relaxed structure of SrCdGaAu2.

Values from the calculation:
DFT formation energy: -0.51 eV per atom
final energy: -29.5 eV per cell
D(E_F): 0.453 states/eV/atom

Cell lengths 4.3628, 4.3628, 12.5483 Å; angles 90.00, 90.00, 90.00 degrees
Space group I-4m2 (No. 119)
Asymmetric unit:
Sr1 0.0000 0.0000 0.0000
Cd1 0.0000 0.5000 0.7500
Ga1 0.0000 0.5000 0.2500
Au1 0.0000 0.0000 0.3893



No. 12
## SrCdGa2Au2 (PBE-GGA)

Data for a relaxed structure of SrCdGa2Au2.

Values from the calculation:
DFT formation energy: -0.47 eV per atom
final energy: -18.0 eV per cell
D(E_F): 0.541 states/eV/atom

Cell lengths 4.5648, 4.5648, 7.4119 Å; angles 90.00, 90.00, 120.00 degrees
Space group P-3m1 (No. 164)
Asymmetric unit:
Sr1 0.0000 0.0000 0.0000
Cd1 0.0000 0.0000 0.5000
Ga1 0.3333 0.6667 0.7101
Au1 0.3333 0.6667 0.3007



What is the formula in the fifth record?
Sc2CdGaAu4